# 1
DFT (PBE-GGA) results for crystalline PuP at its relaxed geometry.

Lattice parameters (Å, degrees): 3.835 3.835 3.581 90.00 90.00 120.00
Each line ends with the local moment (μB).
Fractional coordinates of all 2 atoms:
P1 0.667 0.333 0.750  -0.19
Pu1 0.333 0.667 0.250  5.01

- size of the total moment (μB per atom) = 2.499
- final energy (eV/atom) = -10.75

=====

# 2
DFT (PBE-GGA) results for crystalline RbPuP2S7 at its relaxed geometry.

Lattice parameters (Å, degrees): 9.929 12.481 9.058 90.00 90.64 90.00
Each line ends with the local moment (μB).
Fractional coordinates of all 44 atoms:
Rb1 0.894 0.804 0.867  0.00
S1 0.137 0.941 0.287  -0.02
S2 0.860 0.210 0.389  -0.02
S3 0.170 0.526 0.430  -0.02
S4 0.645 0.808 0.147  -0.02
P1 0.683 0.536 0.697  0.01
Pu1 0.639 0.140 0.892  5.05
S5 0.516 0.057 0.175  -0.04
S6 0.863 0.059 0.713  -0.02
S7 0.588 0.171 0.576  -0.04
S8 0.863 0.441 0.213  -0.02
S9 0.412 0.671 0.924  -0.04
S10 0.516 0.443 0.675  -0.04
S11 0.830 0.026 0.070  -0.02
S12 0.140 0.790 0.611  -0.02
S13 0.484 0.557 0.325  -0.04
S14 0.140 0.710 0.111  -0.02
S15 0.484 0.943 0.825  -0.04
S16 0.255 0.051 0.576  0.01
S17 0.860 0.290 0.889  -0.02
Rb2 0.106 0.304 0.633  0.00
Pu2 0.361 0.860 0.108  5.05
S18 0.412 0.829 0.424  -0.04
P2 0.231 0.896 0.476  0.01
P3 0.769 0.104 0.524  0.01
S19 0.588 0.329 0.076  -0.04
S20 0.355 0.308 0.353  -0.02
S21 0.255 0.449 0.076  0.01
S22 0.170 0.974 0.930  -0.02
Rb3 0.894 0.696 0.367  0.00
Rb4 0.106 0.196 0.133  0.00
Pu3 0.639 0.360 0.392  5.04
S23 0.355 0.192 0.853  -0.02
S24 0.830 0.474 0.570  -0.02
P4 0.769 0.396 0.024  0.01
P5 0.231 0.604 0.976  0.01
S25 0.137 0.559 0.787  -0.02
Pu4 0.361 0.640 0.608  5.04
P6 0.317 0.464 0.303  0.01
S26 0.745 0.949 0.424  0.01
P7 0.317 0.036 0.803  0.01
P8 0.683 0.964 0.197  0.01
S27 0.645 0.692 0.647  -0.02
S28 0.745 0.551 0.924  0.01

- size of the total moment (μB per atom) = 0.455
- final energy (eV/atom) = -5.79

=====

# 3
DFT (PBE-GGA) results for crystalline Pu3P2S at its relaxed geometry.

Lattice parameters (Å, degrees): 6.913 6.913 6.920 99.60 99.60 120.01
Each line ends with the local moment (μB).
Fractional coordinates of all 12 atoms:
Pu1 0.333 0.166 0.500  5.10
P1 0.749 0.251 0.750  -0.16
Pu2 0.834 0.667 0.000  5.10
S1 0.583 0.417 0.250  -0.13
Pu3 0.500 0.000 0.000  5.11
P2 0.917 0.083 0.250  -0.16
Pu4 0.000 0.500 0.500  5.10
S2 0.417 0.583 0.750  -0.13
P3 0.083 0.917 0.750  -0.16
Pu5 0.166 0.333 0.000  5.10
P4 0.251 0.749 0.250  -0.16
Pu6 0.667 0.834 0.500  5.10

- size of the total moment (μB per atom) = 2.618
- final energy (eV/atom) = -11.04

=====

Repeat the second record exactly.
DFT (PBE-GGA) results for crystalline RbPuP2S7 at its relaxed geometry.

Lattice parameters (Å, degrees): 9.929 12.481 9.058 90.00 90.64 90.00
Each line ends with the local moment (μB).
Fractional coordinates of all 44 atoms:
Rb1 0.894 0.804 0.867  0.00
S1 0.137 0.941 0.287  -0.02
S2 0.860 0.210 0.389  -0.02
S3 0.170 0.526 0.430  -0.02
S4 0.645 0.808 0.147  -0.02
P1 0.683 0.536 0.697  0.01
Pu1 0.639 0.140 0.892  5.05
S5 0.516 0.057 0.175  -0.04
S6 0.863 0.059 0.713  -0.02
S7 0.588 0.171 0.576  -0.04
S8 0.863 0.441 0.213  -0.02
S9 0.412 0.671 0.924  -0.04
S10 0.516 0.443 0.675  -0.04
S11 0.830 0.026 0.070  -0.02
S12 0.140 0.790 0.611  -0.02
S13 0.484 0.557 0.325  -0.04
S14 0.140 0.710 0.111  -0.02
S15 0.484 0.943 0.825  -0.04
S16 0.255 0.051 0.576  0.01
S17 0.860 0.290 0.889  -0.02
Rb2 0.106 0.304 0.633  0.00
Pu2 0.361 0.860 0.108  5.05
S18 0.412 0.829 0.424  -0.04
P2 0.231 0.896 0.476  0.01
P3 0.769 0.104 0.524  0.01
S19 0.588 0.329 0.076  -0.04
S20 0.355 0.308 0.353  -0.02
S21 0.255 0.449 0.076  0.01
S22 0.170 0.974 0.930  -0.02
Rb3 0.894 0.696 0.367  0.00
Rb4 0.106 0.196 0.133  0.00
Pu3 0.639 0.360 0.392  5.04
S23 0.355 0.192 0.853  -0.02
S24 0.830 0.474 0.570  -0.02
P4 0.769 0.396 0.024  0.01
P5 0.231 0.604 0.976  0.01
S25 0.137 0.559 0.787  -0.02
Pu4 0.361 0.640 0.608  5.04
P6 0.317 0.464 0.303  0.01
S26 0.745 0.949 0.424  0.01
P7 0.317 0.036 0.803  0.01
P8 0.683 0.964 0.197  0.01
S27 0.645 0.692 0.647  -0.02
S28 0.745 0.551 0.924  0.01

- size of the total moment (μB per atom) = 0.455
- final energy (eV/atom) = -5.79